Crystalline SrYWF2 at its relaxed geometry, computed with PBE+U.

Lattice parameters (Å, degrees): 4.4669 8.0057 4.4669 90.00 90.00 90.00
Closest atoms and distances in Å follow each position.
Fractional coordinates of all 5 atoms:
W (0.5000, 0.5000, 0.5000)  4 Sr 3.16
Sr (0.0000, 0.5000, 0.0000)  4 W 3.16
F (0.5000, 0.0000, 0.0000)  2 Y 2.23
F (0.0000, 0.0000, 0.5000)  2 Y 2.23
Y (0.0000, 0.0000, 0.0000)  4 F 2.23

Calculated total energy ... -5.0143 eV/atom
Space-group type ... P4/mmm (123)